1.
VASP calculation (PBE with a Hubbard U) on a relaxed structure of CoIO2F.

Lattice parameters (Å, degrees): 3.620 3.620 6.359 90.00 90.00 90.00
Space group P4/mmm (No. 123)
One atom of each set of equivalent atoms:
Co 0.000 0.000 0.000
I 0.000 0.000 0.500
O 0.000 0.500 0.000
F 0.500 0.500 0.500

Calculated values
raw total energy	-3.931	eV/atom

---

2.
VASP calculation (PBE with a Hubbard U) on a relaxed structure of CoPb2IF.

Lattice parameters (Å, degrees): 5.138 5.138 5.198 90.00 90.00 90.00
Space group P4/mmm (No. 123)
One atom of each set of equivalent atoms:
Co 0.000 0.000 0.000
Pb 0.000 0.500 0.000
I 0.000 0.000 0.500
F 0.500 0.500 0.500

Calculated values
raw total energy	-3.314	eV/atom

---

3.
VASP calculation (PBE with a Hubbard U) on a relaxed structure of Rb2CoIF6.

Lattice parameters (Å, degrees): 6.893 6.893 8.622 90.00 90.00 90.00
Space group I4/mmm (No. 139)
One atom of each set of equivalent atoms:
Rb 0.000 0.500 0.250
Co 0.000 0.000 0.000
I 0.000 0.000 0.500
F 0.000 0.000 0.256
F 0.190 0.190 0.000

Calculated values
raw total energy	-4.000	eV/atom

---

4.
VASP calculation (PBE with a Hubbard U) on a relaxed structure of CoRhI2F.

Lattice parameters (Å, degrees): 5.709 5.709 3.902 90.00 90.00 90.00
Space group P4/mmm (No. 123)
One atom of each set of equivalent atoms:
Co 0.000 0.000 0.000
Rh 0.500 0.500 0.000
I 0.000 0.500 0.500
F 0.500 0.500 0.500

Calculated values
raw total energy	-2.865	eV/atom

---

5.
VASP calculation (PBE with a Hubbard U) on a relaxed structure of SrCoI2F.

Lattice parameters (Å, degrees): 6.222 6.222 4.382 90.00 90.00 90.00
Space group P4/mmm (No. 123)
One atom of each set of equivalent atoms:
Sr 0.000 0.000 0.000
Co 0.500 0.500 0.000
I 0.000 0.500 0.500
F 0.000 0.000 0.500

Calculated values
raw total energy	-3.235	eV/atom

---

6.
VASP calculation (PBE with a Hubbard U) on a relaxed structure of CoTe2IF.

Lattice parameters (Å, degrees): 4.584 4.584 7.470 90.00 90.00 90.00
Space group P4/mmm (No. 123)
One atom of each set of equivalent atoms:
Co 0.000 0.000 0.000
Te 0.000 0.500 0.500
I 0.500 0.500 0.000
F 0.500 0.500 0.500

Calculated values
offset from the most stable computed form	55.3	meV/atom